First-principles (GGA+U) data for a geometry-optimized KWAu2O structure, as listed in Alexandria.

Unit cell a=5.290 b=5.290 c=8.011 alpha=90.00 beta=90.00 gamma=90.00
Atoms (fractional coordinates):
K: 0.000 0.000 0.000
W: 0.000 0.000 0.500
Au: 0.000 0.500 0.500
Au: 0.500 0.000 0.500
O: 0.500 0.500 0.000

Computed properties:
size of the total moment = 2.6 μB/cell
crystal system = tetragonal
energy = -14.7 eV per cell